The following is a DFT calculation (PBE) of crystalline RbPuC2O8 at its relaxed geometry.

Structure (POSCAR):
```
RbPuC2O8
1.0
5.179 0.014 -0.389
2.402 4.589 -0.389
-0.335 -0.203 8.701
O C Rb Pu
8 2 1 1
direct
0.351 0.351 0.612
0.195 0.195 0.981
0.325 0.742 0.183
0.258 0.675 0.817
0.742 0.325 0.183
0.675 0.258 0.817
0.805 0.805 0.019
0.649 0.649 0.388
0.576 0.576 0.255
0.424 0.424 0.745
0.000 0.000 0.500
0.000 0.000 0.000
```

Calculated values
symmetry = No. 12
Fermi-level density of states = 2.35 states/eV/f.u.
final energy = -7.882 eV/atom
calculated density = 3.89 Mg/m³

---

The following is a DFT calculation (PBE) of crystalline SrPuC2O8 at its relaxed geometry.

Structure (POSCAR):
```
SrPuC2O8
1.0
-0.310 4.337 -1.869
0.287 -3.782 -2.831
-7.646 -0.559 -0.028
O Sr Pu C
8 1 1 2
direct
0.333 0.667 0.913
0.373 0.306 0.327
0.694 0.067 0.327
0.306 0.933 0.673
0.667 0.333 0.087
0.933 0.627 0.327
0.067 0.373 0.673
0.627 0.694 0.673
0.000 0.000 0.000
0.000 0.000 0.500
0.333 0.667 0.741
0.667 0.333 0.259
```

Calculated values
symmetry = No. 147
Fermi-level density of states = 6.43 states/eV/f.u.
final energy = -8.018 eV/atom
calculated density = 5.40 Mg/m³

---

The following is a DFT calculation (PBE) of crystalline PuTlCO5 at its relaxed geometry.

Structure (POSCAR):
```
PuTlCO5
1.0
-5.124 0.584 2.680
3.887 -0.878 4.231
1.671 7.031 -3.080
C Pu Tl O
2 2 2 10
direct
0.695 0.305 0.250
0.305 0.695 0.750
0.000 0.000 0.000
0.000 0.000 0.500
0.655 0.345 0.750
0.345 0.655 0.250
0.934 0.066 0.750
0.150 0.716 0.861
0.284 0.850 0.639
0.565 0.778 0.871
0.222 0.435 0.629
0.435 0.222 0.129
0.778 0.565 0.371
0.716 0.150 0.361
0.066 0.934 0.250
0.850 0.284 0.139
```

Calculated values
symmetry = No. 15
Fermi-level density of states = 4.96 states/eV/f.u.
final energy = -7.947 eV/atom
calculated density = 7.91 Mg/m³

---

The following is a DFT calculation (PBE) of crystalline PuTlC2O8 at its relaxed geometry.

Structure (POSCAR):
```
PuTlC2O8
1.0
5.164 0.003 -0.408
2.384 4.580 -0.408
-0.383 -0.233 8.695
C O Pu Tl
2 8 1 1
direct
0.575 0.575 0.256
0.425 0.425 0.744
0.257 0.673 0.818
0.743 0.327 0.182
0.327 0.743 0.182
0.804 0.804 0.018
0.644 0.644 0.393
0.356 0.356 0.607
0.673 0.257 0.818
0.196 0.196 0.982
0.000 0.000 0.000
0.000 0.000 0.500
```

Calculated values
symmetry = No. 12
Fermi-level density of states = 2.18 states/eV/f.u.
final energy = -7.819 eV/atom
calculated density = 4.87 Mg/m³

---

The following is a DFT calculation (PBE) of crystalline PuTlC2O6 at its relaxed geometry.

Structure (POSCAR):
```
PuTlC2O6
1.0
6.643 0.061 -0.016
-0.753 6.601 -0.016
-1.718 -1.943 6.809
O C Tl Pu
12 4 2 2
direct
0.261 0.215 0.624
0.298 0.530 0.394
0.470 0.702 0.106
0.215 0.261 0.124
0.739 0.785 0.376
0.955 0.398 0.235
0.530 0.298 0.894
0.702 0.470 0.606
0.602 0.045 0.265
0.398 0.955 0.735
0.045 0.602 0.765
0.785 0.739 0.876
0.606 0.849 0.250
0.849 0.606 0.750
0.151 0.394 0.250
0.394 0.151 0.750
0.885 0.115 0.750
0.115 0.885 0.250
0.603 0.397 0.250
0.397 0.603 0.750
```

Calculated values
symmetry = No. 15
Fermi-level density of states = 6.66 states/eV/f.u.
final energy = -8.244 eV/atom
calculated density = 6.32 Mg/m³

---

The following is a DFT calculation (PBE) of crystalline Rb2C2O5 at its relaxed geometry.

Structure (POSCAR):
```
Rb2C2O5
1.0
-3.105 -2.839 -1.814
6.112 -2.790 -0.310
-0.592 -2.538 4.985
Rb O C
2 5 2
direct
0.356 0.713 0.666
0.644 0.287 0.334
0.112 0.225 0.670
0.177 0.353 0.039
0.000 0.000 0.000
0.823 0.647 0.961
0.888 0.775 0.330
0.895 0.790 0.106
0.105 0.210 0.894
```

Calculated values
symmetry = No. 12
Fermi-level density of states = 0.00 states/eV/f.u.
final energy = -6.502 eV/atom
calculated density = 2.81 Mg/m³

---

The following is a DFT calculation (PBE) of crystalline Rb2CO5 at its relaxed geometry.

Structure (POSCAR):
```
Rb2CO5
1.0
6.098 -0.048 -0.069
-3.044 5.284 0.069
-3.044 -1.733 4.992
Rb O C
2 5 1
direct
0.500 0.758 0.258
0.500 0.258 0.758
0.667 0.822 0.822
0.000 0.822 0.155
0.000 0.155 0.822
0.000 0.204 0.204
0.333 0.155 0.155
0.000 0.050 0.050
```

Calculated values
symmetry = No. 107
Fermi-level density of states = 6.24 states/eV/f.u.
final energy = -4.974 eV/atom
calculated density = 2.74 Mg/m³

---

The following is a DFT calculation (PBE) of crystalline Rb4CO4 at its relaxed geometry.

Structure (POSCAR):
```
Rb4CO4
1.0
4.074 4.190 0.006
-4.074 4.190 0.006
0.000 2.782 6.539
Rb O C
4 4 1
direct
0.555 0.028 0.111
0.943 0.427 0.626
0.427 0.943 0.626
0.028 0.555 0.111
0.115 0.829 0.330
0.202 0.202 0.360
0.925 0.925 0.635
0.829 0.115 0.330
0.018 0.018 0.412
```

Calculated values
symmetry = No. 8
E above lowest polymorph = 0.082 eV/atom
Fermi-level density of states = 0.07 states/eV/f.u.
final energy = -4.864 eV/atom
calculated density = 3.11 Mg/m³

---

The following is a DFT calculation (PBE) of crystalline Rb4CO4 at its relaxed geometry.

Structure (POSCAR):
```
Rb4CO4
1.0
3.100 5.203 0.176
-3.100 5.203 0.176
0.000 2.651 5.861
C Rb O
1 4 4
direct
0.891 0.109 0.000
0.181 0.558 0.861
0.950 0.393 0.454
0.442 0.819 0.139
0.607 0.050 0.546
0.696 0.175 0.890
0.825 0.304 0.110
0.136 0.081 0.829
0.919 0.864 0.171
```

Calculated values
symmetry = No. 5
E above lowest polymorph = 0.022 eV/atom
final energy = -4.925 eV/atom
calculated density = 3.73 Mg/m³

---

The following is a DFT calculation (PBE) of crystalline RbC3O6 at its relaxed geometry.

Structure (POSCAR):
```
RbC3O6
1.0
4.316 0.000 0.000
-1.439 7.397 0.000
-1.439 -3.698 6.406
O C Rb
6 3 1
direct
0.839 0.293 0.000
0.128 0.591 0.000
0.546 0.707 0.707
0.839 0.000 0.293
0.128 0.000 0.591
0.537 0.409 0.409
0.494 0.549 0.549
0.945 0.000 0.451
0.945 0.451 0.000
0.260 0.000 0.000
```

Calculated values
symmetry = No. 160
Fermi-level density of states = 1.76 states/eV/f.u.
final energy = -7.022 eV/atom
calculated density = 1.77 Mg/m³

---

The following is a DFT calculation (PBE) of crystalline Rb2CO3 at its relaxed geometry.

Structure (POSCAR):
```
Rb2CO3
1.0
10.185 0.000 0.000
0.000 5.970 -0.052
0.000 0.846 7.598
O C Rb
12 4 8
direct
0.039 0.258 0.190
0.361 0.574 0.204
0.861 0.426 0.296
0.652 0.068 0.725
0.152 0.932 0.775
0.961 0.742 0.810
0.539 0.742 0.310
0.639 0.426 0.796
0.139 0.574 0.704
0.461 0.258 0.690
0.348 0.932 0.275
0.848 0.068 0.225
0.916 0.251 0.238
0.416 0.749 0.262
0.084 0.749 0.762
0.584 0.251 0.738
0.725 0.742 0.022
0.775 0.742 0.522
0.418 0.758 0.682
0.225 0.258 0.478
0.582 0.242 0.318
0.275 0.258 0.978
0.082 0.758 0.182
0.918 0.242 0.818
```

Calculated values
symmetry = No. 14
Fermi-level density of states = 0.00 states/eV/f.u.
final energy = -6.077 eV/atom
calculated density = 3.32 Mg/m³

---

The following is a DFT calculation (PBE) of crystalline Rb4CO4 at its relaxed geometry.

Structure (POSCAR):
```
Rb4CO4
1.0
1.775 -5.475 -2.424
1.950 0.748 5.885
-3.848 -3.559 2.747
Rb O C
4 4 1
direct
0.307 0.307 0.448
0.034 0.522 0.887
0.844 0.844 0.246
0.522 0.034 0.887
0.850 0.850 0.741
0.485 0.711 0.627
0.711 0.485 0.627
0.515 0.515 0.987
0.639 0.639 0.746
```

Calculated values
symmetry = No. 8
E above lowest polymorph = 0.049 eV/atom
final energy = -4.897 eV/atom
calculated density = 3.40 Mg/m³

---

> Look up the final energy of the twelfth one.

-4.897 eV/atom

---

> Number 12 is which compound?

Rb4CO4